Entry 1:
{
  "formula": "TlGaSnS4",
  "functional": "GGA-PBE",
  "state": "relaxed",
  "sg": "P2_1/m (11)",
  "raw_formation_energy_ev_per_atom": -0.4481,
  "mass_density_g_cm3": 4.169,
  "cell": [[6.319, 0.000, 0.000], [0.000, 7.756, 0.000], [-2.051, 0.000, 8.469]],
  "species": ["Tl", "Tl", "Ga", "Ga", "Sn", "Sn", "S", "S", "S", "S", "S", "S", "S", "S"],
  "frac_coords": [[0.193, 0.250, 0.098], [0.807, 0.750, 0.902], [0.214, 0.750, 0.305], [0.786, 0.250, 0.695], [0.289, 0.250, 0.690], [0.711, 0.750, 0.310], [0.031, 0.024, 0.718], [0.031, 0.476, 0.718], [0.385, 0.750, 0.096], [0.485, 0.250, 0.484], [0.515, 0.750, 0.516], [0.615, 0.250, 0.904], [0.969, 0.524, 0.282], [0.969, 0.976, 0.282]]
}


Entry 2:
{
  "formula": "ZrGaSnS2",
  "functional": "GGA-PBE",
  "state": "relaxed",
  "sg": "P4/mmm (123)",
  "raw_formation_energy_ev_per_atom": 0.3418,
  "mass_density_g_cm3": 4.864,
  "cell": [[4.661, 0.000, 0.000], [0.000, 4.661, 0.000], [0.000, 0.000, 5.401]],
  "species": ["Zr", "Ga", "Sn", "S", "S"],
  "frac_coords": [[0.000, 0.000, 0.000], [0.000, 0.000, 0.500], [0.500, 0.500, 0.000], [0.000, 0.500, 0.500], [0.500, 0.000, 0.500]]
}


Entry 3:
{
  "formula": "Sr3Ga5S12",
  "functional": "GGA-PBE",
  "state": "relaxed",
  "sg": "Ia-3d (230)",
  "raw_formation_energy_ev_per_atom": -0.8764,
  "mass_density_g_cm3": 3.571,
  "cell": [[-7.738, 7.738, 7.738], [7.738, -7.738, 7.738], [7.738, 7.738, -7.738]],
  "species": ["Sr", "Sr", "Sr", "Sr", "Sr", "Sr", "Sr", "Sr", "Sr", "Sr", "Sr", "Sr", "Ga", "Ga", "Ga", "Ga", "Ga", "Ga", "Ga", "Ga", "Ga", "Ga", "Ga", "Ga", "Ga", "Ga", "Ga", "Ga", "Ga", "Ga", "Ga", "Ga", "S", "S", "S", "S", "S", "S", "S", "S", "S", "S", "S", "S", "S", "S", "S", "S", "S", "S", "S", "S", "S", "S", "S", "S", "S", "S", "S", "S", "S", "S", "S", "S", "S", "S", "S", "S", "S", "S", "S", "S", "S", "S", "S", "S", "S", "S", "S", "S"],
  "frac_coords": [[0.125, 0.250, 0.375], [0.125, 0.375, 0.750], [0.250, 0.375, 0.125], [0.250, 0.875, 0.625], [0.375, 0.125, 0.250], [0.375, 0.750, 0.125], [0.625, 0.250, 0.875], [0.625, 0.875, 0.750], [0.750, 0.125, 0.375], [0.750, 0.625, 0.875], [0.875, 0.625, 0.250], [0.875, 0.750, 0.625], [0.000, 0.000, 0.000], [0.000, 0.000, 0.500], [0.000, 0.500, 0.000], [0.000, 0.500, 0.500], [0.125, 0.750, 0.875], [0.125, 0.875, 0.250], [0.250, 0.125, 0.875], [0.250, 0.625, 0.375], [0.375, 0.250, 0.625], [0.375, 0.625, 0.750], [0.500, 0.000, 0.000], [0.500, 0.000, 0.500], [0.500, 0.500, 0.000], [0.500, 0.500, 0.500], [0.625, 0.375, 0.250], [0.625, 0.750, 0.375], [0.750, 0.375, 0.625], [0.750, 0.875, 0.125], [0.875, 0.125, 0.750], [0.875, 0.250, 0.125], [0.023, 0.203, 0.114], [0.023, 0.320, 0.909], [0.089, 0.703, 0.680], [0.089, 0.886, 0.409], [0.091, 0.614, 0.411], [0.091, 0.977, 0.680], [0.114, 0.023, 0.203], [0.114, 0.591, 0.911], [0.180, 0.203, 0.589], [0.180, 0.477, 0.591], [0.203, 0.114, 0.023], [0.203, 0.589, 0.180], [0.297, 0.320, 0.911], [0.297, 0.477, 0.386], [0.320, 0.909, 0.023], [0.320, 0.911, 0.297], [0.386, 0.297, 0.477], [0.386, 0.589, 0.909], [0.409, 0.089, 0.886], [0.409, 0.820, 0.523], [0.411, 0.091, 0.614], [0.411, 0.820, 0.797], [0.477, 0.386, 0.297], [0.477, 0.591, 0.180], [0.523, 0.409, 0.820], [0.523, 0.614, 0.703], [0.589, 0.180, 0.203], [0.589, 0.909, 0.386], [0.591, 0.180, 0.477], [0.591, 0.911, 0.114], [0.614, 0.411, 0.091], [0.614, 0.703, 0.523], [0.680, 0.089, 0.703], [0.680, 0.091, 0.977], [0.703, 0.523, 0.614], [0.703, 0.680, 0.089], [0.797, 0.411, 0.820], [0.797, 0.886, 0.977], [0.820, 0.523, 0.409], [0.820, 0.797, 0.411], [0.886, 0.409, 0.089], [0.886, 0.977, 0.797], [0.909, 0.023, 0.320], [0.909, 0.386, 0.589], [0.911, 0.114, 0.591], [0.911, 0.297, 0.320], [0.977, 0.680, 0.091], [0.977, 0.797, 0.886]]
}


Entry 4:
{
  "formula": "SrGa4S7",
  "functional": "GGA-PBE",
  "state": "relaxed",
  "sg": "Pmn2_1 (31)",
  "raw_formation_energy_ev_per_atom": -0.9291,
  "mass_density_g_cm3": 3.381,
  "cell": [[15.073, 0.000, 0.000], [0.000, 6.332, 0.000], [0.000, 0.000, 6.082]],
  "species": ["Sr", "Sr", "Ga", "Ga", "Ga", "Ga", "Ga", "Ga", "Ga", "Ga", "S", "S", "S", "S", "S", "S", "S", "S", "S", "S", "S", "S", "S", "S"],
  "frac_coords": [[0.000, 0.108, 0.000], [0.500, 0.892, 0.500], [0.121, 0.660, 0.710], [0.249, 0.175, 0.696], [0.251, 0.825, 0.196], [0.379, 0.340, 0.210], [0.621, 0.340, 0.210], [0.749, 0.825, 0.196], [0.751, 0.175, 0.696], [0.879, 0.660, 0.710], [0.000, 0.841, 0.581], [0.115, 0.313, 0.613], [0.116, 0.711, 0.084], [0.249, 0.180, 0.085], [0.251, 0.820, 0.585], [0.384, 0.289, 0.584], [0.385, 0.687, 0.113], [0.500, 0.159, 0.081], [0.615, 0.687, 0.113], [0.616, 0.289, 0.584], [0.749, 0.820, 0.585], [0.751, 0.180, 0.085], [0.884, 0.711, 0.084], [0.885, 0.313, 0.613]]
}


Entry 5:
{
  "formula": "SrGaS2",
  "functional": "GGA-PBE",
  "state": "relaxed",
  "sg": "Pm (6)",
  "raw_formation_energy_ev_per_atom": -1.1507,
  "mass_density_g_cm3": 3.427,
  "cell": [[4.101, 0.000, 0.000], [0.000, 4.666, 0.000], [-1.934, 0.000, 5.608]],
  "species": ["Sr", "Ga", "S", "S"],
  "frac_coords": [[0.000, 0.000, 0.000], [0.686, 0.500, 0.379], [0.478, 0.500, 0.963], [0.736, 0.000, 0.466]]
}


Entry 6:
{
  "formula": "SrGaS2",
  "functional": "GGA-PBE",
  "state": "relaxed",
  "sg": "R-3m (166)",
  "raw_formation_energy_ev_per_atom": -0.5814,
  "mass_density_g_cm3": 3.588,
  "cell": [[1.884, 1.088, 8.336], [-1.884, 1.088, 8.336], [0.000, -2.175, 8.336]],
  "species": ["Sr", "Ga", "S", "S"],
  "frac_coords": [[0.000, 0.000, 0.000], [0.500, 0.500, 0.500], [0.115, 0.115, 0.115], [0.885, 0.885, 0.885]]
}


Entry 7:
{
  "formula": "Sr5GaS6",
  "functional": "GGA-PBE",
  "state": "relaxed",
  "sg": "C2/m (12)",
  "raw_formation_energy_ev_per_atom": -1.7663,
  "mass_density_g_cm3": 3.624,
  "cell": [[3.661, -6.345, 0.000], [3.661, 6.345, 0.000], [-2.434, 0.000, 6.905]],
  "species": ["Sr", "Sr", "Sr", "Sr", "Sr", "Ga", "S", "S", "S", "S", "S", "S"],
  "frac_coords": [[0.000, 0.000, 0.000], [0.167, 0.833, 0.500], [0.334, 0.666, 0.000], [0.666, 0.334, 0.000], [0.833, 0.167, 0.500], [0.500, 0.500, 0.500], [0.096, 0.418, 0.255], [0.259, 0.259, 0.742], [0.418, 0.096, 0.255], [0.582, 0.904, 0.745], [0.741, 0.741, 0.258], [0.904, 0.582, 0.745]]
}


Entry 8:
{
  "formula": "SrGaS",
  "functional": "GGA-PBE",
  "state": "relaxed",
  "sg": "Amm2 (38)",
  "raw_formation_energy_ev_per_atom": -0.9947,
  "mass_density_g_cm3": 3.815,
  "cell": [[9.974, 0.000, 0.000], [0.000, 2.866, 2.884], [0.000, -2.866, 2.884]],
  "species": ["Sr", "Sr", "Ga", "Ga", "S", "S"],
  "frac_coords": [[0.205, 0.000, 0.000], [0.795, 0.000, 0.000], [0.000, 0.503, 0.503], [0.500, 0.735, 0.735], [0.294, 0.493, 0.493], [0.706, 0.493, 0.493]]
}